Arrangement A

This record from Alexandria describes Y3Mg4Cd4 after structural relaxation. The functional is PBE.

Lattice parameters (Å, degrees): 3.467 5.000 15.877 80.95 83.70 90.00
Element x y z (fractional)
Y (0.139, 0.641, 0.718)
Y (0.861, 0.359, 0.282)
Y (0.000, 0.000, 0.000)
Mg (0.588, 0.092, 0.816)
Mg (0.264, 0.264, 0.472)
Mg (0.736, 0.736, 0.528)
Mg (0.412, 0.908, 0.184)
Cd (0.547, 0.547, 0.906)
Cd (0.453, 0.453, 0.094)
Cd (0.318, 0.816, 0.367)
Cd (0.682, 0.184, 0.633)

Computed properties:
**DOS at the Fermi energy**: 0.663 states/eV per atom



Arrangement B

This record from Alexandria describes Y3Mg4Cd4 after structural relaxation. The functional is PBE.

Lattice parameters (Å, degrees): 7.215 7.215 7.215 109.47 109.47 109.47
Element x y z (fractional)
Y (0.500, 0.500, 0.000)
Y (0.500, 0.000, 0.500)
Y (0.000, 0.500, 0.500)
Mg (0.000, 0.255, 0.000)
Mg (0.000, 0.000, 0.255)
Mg (0.255, 0.000, 0.000)
Mg (0.745, 0.745, 0.745)
Cd (0.000, 0.611, 0.000)
Cd (0.611, 0.000, 0.000)
Cd (0.000, 0.000, 0.611)
Cd (0.389, 0.389, 0.389)

Computed properties:
**DOS at the Fermi energy**: 0.829 states/eV per atom



Winner for stability: arrangement A



Arrangement A

This record from Alexandria describes YMg3Cd after structural relaxation. The functional is PBE.

Lattice parameters (Å, degrees): 3.783 9.895 13.213 90.00 90.00 90.00
Element x y z (fractional)
Y (0.750, 0.845, 0.997)
Y (0.250, 0.655, 0.497)
Y (0.750, 0.345, 0.503)
Y (0.250, 0.155, 0.003)
Mg (0.250, 0.577, 0.087)
Mg (0.750, 0.423, 0.913)
Mg (0.250, 0.077, 0.413)
Mg (0.750, 0.923, 0.587)
Mg (0.250, 0.410, 0.715)
Mg (0.750, 0.090, 0.215)
Mg (0.250, 0.910, 0.785)
Mg (0.750, 0.656, 0.703)
Mg (0.250, 0.344, 0.297)
Mg (0.750, 0.156, 0.797)
Mg (0.750, 0.590, 0.285)
Mg (0.250, 0.844, 0.203)
Cd (0.250, 0.143, 0.628)
Cd (0.250, 0.643, 0.872)
Cd (0.750, 0.357, 0.128)
Cd (0.750, 0.857, 0.372)

Computed properties:
**DOS at the Fermi energy**: 0.577 states/eV per atom



Arrangement B

This record from Alexandria describes YMg3Cd after structural relaxation. The functional is PBE.

Lattice parameters (Å, degrees): 6.058 6.058 6.058 90.00 90.00 90.00
Element x y z (fractional)
Y (0.000, 0.000, 0.000)
Mg (0.000, 0.500, 0.000)
Mg (0.000, 0.000, 0.500)
Mg (0.500, 0.000, 0.000)
Cd (0.500, 0.500, 0.500)

Computed properties:
**DOS at the Fermi energy**: 2.048 states/eV per atom



Arrangement C

This record from Alexandria describes YMg3Cd after structural relaxation. The functional is PBE.

Lattice parameters (Å, degrees): 5.168 5.168 5.168 90.00 90.00 90.00
Element x y z (fractional)
Y (0.500, 0.500, 0.500)
Mg (0.000, 0.500, 0.000)
Mg (0.000, 0.000, 0.500)
Mg (0.500, 0.000, 0.000)
Cd (0.000, 0.000, 0.000)

Computed properties:
**DOS at the Fermi energy**: 0.440 states/eV per atom



Winner for stability: arrangement A



Arrangement A

This record from Alexandria describes Y3MgCd after structural relaxation. The functional is PBE.

Lattice parameters (Å, degrees): 5.223 5.223 10.644 90.00 75.80 90.00
Element x y z (fractional)
Y (0.762, 0.250, 0.124)
Y (0.383, 0.250, 0.882)
Y (0.574, 0.250, 0.501)
Y (0.265, 0.750, 0.118)
Y (0.886, 0.750, 0.876)
Y (0.075, 0.750, 0.499)
Mg (0.479, 0.750, 0.690)
Mg (0.169, 0.250, 0.310)
Cd (0.666, 0.750, 0.317)
Cd (0.982, 0.250, 0.683)

Computed properties:
**DOS at the Fermi energy**: 1.255 states/eV per atom



Arrangement B

This record from Alexandria describes Y3MgCd after structural relaxation. The functional is PBE.

Lattice parameters (Å, degrees): 5.669 5.669 5.669 90.00 90.00 90.00
Element x y z (fractional)
Y (0.000, 0.500, 0.000)
Y (0.000, 0.000, 0.500)
Y (0.500, 0.000, 0.000)
Mg (0.500, 0.500, 0.500)
Cd (0.000, 0.000, 0.000)

Computed properties:
**DOS at the Fermi energy**: 1.566 states/eV per atom



Winner for stability: arrangement A



Arrangement A

This record from Alexandria describes Mg3Zn2Cd after structural relaxation. The functional is PBE.

Lattice parameters (Å, degrees): 3.133 4.976 7.858 108.46 90.00 90.00
Element x y z (fractional)
Mg (0.500, 0.500, 0.000)
Mg (0.500, 0.824, 0.648)
Mg (0.500, 0.176, 0.352)
Zn (0.000, 0.337, 0.675)
Zn (0.000, 0.663, 0.325)
Cd (0.000, 0.000, 0.000)

Computed properties:
**DOS at the Fermi energy**: 0.295 states/eV per atom



Arrangement B

This record from Alexandria describes Mg3Zn2Cd after structural relaxation. The functional is PBE.

Lattice parameters (Å, degrees): 3.100 3.100 12.075 90.00 90.00 90.00
Element x y z (fractional)
Mg (0.000, 0.000, 0.000)
Mg (0.000, 0.000, 0.686)
Mg (0.000, 0.000, 0.314)
Zn (0.500, 0.500, 0.842)
Zn (0.500, 0.500, 0.158)
Cd (0.500, 0.500, 0.500)

Computed properties:
**DOS at the Fermi energy**: 0.342 states/eV per atom



Winner for stability: arrangement B